Crystalline Hg3Se4 at its relaxed geometry, computed with PBE.

Computed properties:
VASP energy: -1.81 eV per atom
volume: 196.2 Å³ per cell
ΔE to the lowest computed polymorph: 180.0 kJ/mol of formula units
E_form (uncorrected): 0.308 eV per atom
space-group type: No. 191

a b c (Å): 7.0111 7.0111 4.6082
angles (deg): 90.00 90.00 120.00
Fractional coordinates of all 7 atoms:
1 Hg 0.0000 0.5000 0.0000
2 Hg 0.5000 0.5000 0.0000
3 Hg 0.5000 0.0000 0.0000
4 Se 0.0000 0.0000 0.2652
5 Se 0.0000 0.0000 0.7348
6 Se 0.6667 0.3333 0.5000
7 Se 0.3333 0.6667 0.5000

---

Crystalline Rb3LaNp3Se8 at its relaxed geometry, computed with PBE.

Computed properties:
VASP energy: -6.34 eV per atom
volume: 513.8 Å³ per cell
E_form (uncorrected): -1.370 eV per atom
space-group type: No. 166

a b c (Å): 8.5814 8.5819 9.4554
angles (deg): 116.96 90.00 120.00
Site moments in Bohr magnetons follow the coordinates.
Fractional coordinates of all 15 atoms:
1 Rb 0.0000 0.0000 0.0000  0.00
2 Rb 0.0000 0.5000 0.0000  0.00
3 Rb 0.5000 0.5000 0.0000  0.00
4 La 0.0000 0.0000 0.5000  0.02
5 Np 0.5000 0.0000 0.5000  3.76
6 Np 0.5000 0.5000 0.5000  3.76
7 Np 0.0000 0.5000 0.5000  3.76
8 Se 0.2693 0.5386 0.3078  -0.09
9 Se 0.7307 0.4614 0.6922  -0.09
10 Se 0.7623 0.5245 0.3056  -0.07
11 Se 0.2377 0.4755 0.6944  -0.07
12 Se 0.7622 0.0435 0.3055  -0.07
13 Se 0.2378 0.9565 0.6945  -0.07
14 Se 0.2813 0.0435 0.3055  -0.07
15 Se 0.7187 0.9565 0.6945  -0.07

---

Crystalline NaTbTl2F6 at its relaxed geometry, computed with PBE.

Computed properties:
VASP energy: -5.11 eV per atom
volume: 364.3 Å³ per cell
E_form (uncorrected): -2.917 eV per atom
space-group type: No. 14

a b c (Å): 6.3596 6.3646 9.0003
angles (deg): 90.00 90.08 90.00
Fractional coordinates of all 20 atoms:
1 Na 0.5000 0.0000 0.5000
2 Na 0.0000 0.5000 0.0000
3 Tb 0.5000 0.0000 0.0000
4 Tb 0.0000 0.5000 0.5000
5 Tl 0.0035 0.9805 0.2498
6 Tl 0.5035 0.5195 0.7498
7 Tl 0.9965 0.0195 0.7502
8 Tl 0.4965 0.4805 0.2502
9 F 0.2906 0.7268 0.0311
10 F 0.7906 0.7732 0.5311
11 F 0.7094 0.2732 0.9689
12 F 0.2094 0.2268 0.4689
13 F 0.2721 0.7112 0.4703
14 F 0.7721 0.7888 0.9703
15 F 0.7279 0.2888 0.5297
16 F 0.2279 0.2112 0.0297
17 F 0.9408 0.5115 0.2583
18 F 0.4408 0.9885 0.7583
19 F 0.0592 0.4885 0.7417
20 F 0.5592 0.0115 0.2417

---

Crystalline TbInRu at its relaxed geometry, computed with PBE.

Computed properties:
ΔH_f (0 K): -281 meV per atom
VASP energy: -5.83 eV per atom
volume: 63.7 Å³ per cell
space-group type: No. 107

a b c (Å): 3.4395 3.4395 5.9074
angles (deg): 106.92 106.92 90.00
Fractional coordinates of all 3 atoms:
1 Ru 0.6727 0.6727 0.3453
2 Tb 0.0187 0.0187 0.0374
3 In 0.3086 0.3086 0.6172

---

Crystalline Mg2CoHPd at its relaxed geometry, computed with PBE.

Computed properties:
VASP energy: -4.07 eV per atom
volume: 62.2 Å³ per cell
space-group type: No. 123

a b c (Å): 4.3684 4.3684 3.2573
angles (deg): 90.00 90.00 90.00
Fractional coordinates of all 5 atoms:
1 H 0.0000 0.0000 0.0000
2 Mg 0.0000 0.5000 0.0000
3 Mg 0.5000 0.0000 0.0000
4 Co 0.0000 0.0000 0.5000
5 Pd 0.5000 0.5000 0.5000

---

Crystalline AcSiB at its relaxed geometry, computed with PBE.

Computed properties:
VASP energy: -5.73 eV per atom
volume: 123.0 Å³ per cell
ΔE to the lowest computed polymorph: 14.4 kJ/mol of formula units
E_form (uncorrected): -0.331 eV per atom
space-group type: No. 12

a b c (Å): 4.5954 4.1679 6.9167
angles (deg): 107.54 102.45 90.00
Fractional coordinates of all 6 atoms:
1 Ac 0.6147 0.8836 0.7671
2 Ac 0.3853 0.1164 0.2329
3 Si 0.0604 0.3010 0.6020
4 Si 0.9396 0.6990 0.3980
5 B 0.0868 0.4530 0.9060
6 B 0.9132 0.5470 0.0940

---

Crystalline NdThRh at its relaxed geometry, computed with PBE.

Computed properties:
ΔH_f (0 K): -478 meV per atom
VASP energy: -6.99 eV per atom
volume: 77.4 Å³ per cell
ΔE to the lowest computed polymorph: 4.1 kJ/mol of formula units
space-group type: No. 107

a b c (Å): 3.6693 3.6693 6.3056
angles (deg): 106.92 106.92 90.00
Fractional coordinates of all 3 atoms:
1 Rh 0.6893 0.6893 0.3786
2 Nd 0.0080 0.0080 0.0160
3 Th 0.3027 0.3027 0.6054

---

Crystalline Rb2TlPbF6 at its relaxed geometry, computed with PBE.

Computed properties:
VASP energy: -4.26 eV per atom
volume: 213.7 Å³ per cell
E_form (uncorrected): -2.335 eV per atom
space-group type: No. 5

a b c (Å): 6.7128 6.7523 6.7030
angles (deg): 120.25 120.08 90.01
Fractional coordinates of all 10 atoms:
1 Rb 0.7586 0.2354 0.4999
2 Rb 0.2588 0.7654 0.4996
3 Tl 0.5007 0.5004 0.9998
4 Pb 0.0005 0.0004 0.9998
5 F 0.8079 0.8038 0.1053
6 F 0.7365 0.6605 0.5063
7 F 0.1982 0.1904 0.8935
8 F 0.7034 0.1980 0.8947
9 F 0.2312 0.3403 0.4935
10 F 0.3033 0.8092 0.1053

---

Please write out number 7 again, unchanged.
Crystalline NdThRh at its relaxed geometry, computed with PBE.

Computed properties:
ΔH_f (0 K): -478 meV per atom
VASP energy: -6.99 eV per atom
volume: 77.4 Å³ per cell
ΔE to the lowest computed polymorph: 4.1 kJ/mol of formula units
space-group type: No. 107

a b c (Å): 3.6693 3.6693 6.3056
angles (deg): 106.92 106.92 90.00
Fractional coordinates of all 3 atoms:
1 Rh 0.6893 0.6893 0.3786
2 Nd 0.0080 0.0080 0.0160
3 Th 0.3027 0.3027 0.6054